Entry 1:
Material: NaSe2F
Method: DFT, GGA-PBE
State: relaxed

```
NaSe2F
1.0
0.0000 3.3027 3.3027
3.3027 0.0000 3.3027
3.3027 3.3027 0.0000
Na Se F
1 2 1
direct
0.0000 0.0000 0.0000
0.2500 0.2500 0.2500
0.7500 0.7500 0.7500
0.5000 0.5000 0.5000
```

Distance to the lowest polymorph of the same formula   830.0 meV/atom
Formation energy without anion corrections   -92 kJ/mol of formula units
V   72.05 Å³/cell

Entry 2:
Material: TmCdIO6
Method: DFT, GGA-PBE
State: relaxed

```
TmCdIO6
1.0
5.5512 0.0000 0.0000
-2.7756 4.8075 0.0000
0.0000 0.0000 9.3548
Tm Cd I O
2 2 2 12
direct
0.3333 0.6667 0.2500
0.6667 0.3333 0.7500
0.0000 0.0000 0.0000
0.0000 0.0000 0.5000
0.3333 0.6667 0.7500
0.6667 0.3333 0.2500
0.0438 0.3855 0.6359
0.0438 0.6583 0.8641
0.3417 0.3855 0.8641
0.3417 0.9562 0.6359
0.3855 0.0438 0.1359
0.3855 0.3417 0.3641
0.6145 0.6583 0.6359
0.6145 0.9562 0.8641
0.6583 0.0438 0.3641
0.6583 0.6145 0.1359
0.9562 0.3417 0.1359
0.9562 0.6145 0.3641
```

Formation energy without anion corrections   -1216 kJ/mol of formula units
V   249.66 Å³/cell

Entry 3:
Material: Cs2YbH4
Method: DFT, GGA-PBE
State: relaxed

```
Cs2YbH4
1.0
-2.2883 2.2883 7.6844
2.2883 -2.2883 7.6844
2.2883 2.2883 -7.6844
Cs Yb H
2 1 4
direct
0.1470 0.1470 0.0000
0.8530 0.8530 0.0000
0.5000 0.5000 0.0000
0.0000 0.5000 0.5000
0.3495 0.3495 0.0000
0.5000 0.0000 0.5000
0.6505 0.6505 0.0000
```

E   -2.72 eV/atom
V   160.95 Å³/cell

Entry 4:
Material: Ba2CeInAu6
Method: DFT, GGA-PBE
State: relaxed

```
Ba2CeInAu6
1.0
0.0000 5.5061 5.5061
5.5061 0.0000 5.5061
5.5061 5.5061 0.0000
Ba Ce In Au
2 1 1 6
direct
0.2500 0.2500 0.2500
0.7500 0.7500 0.7500
0.0000 0.0000 0.0000
0.5000 0.5000 0.5000
0.2548 0.2548 0.7452
0.2548 0.7452 0.2548
0.2548 0.7452 0.7452
0.7452 0.2548 0.2548
0.7452 0.2548 0.7452
0.7452 0.7452 0.2548
```

DFT formation energy   -0.292 eV per atom
V   333.85 Å³/cell

Entry 5:
Material: CdRe2Ag
Method: DFT, GGA-PBE
State: relaxed

```
CdRe2Ag
1.0
-1.5594 2.1972 4.8823
1.5594 -2.1972 4.8823
1.5594 2.1972 -4.8823
Cd Re Ag
1 2 1
direct
0.0000 0.0000 0.0000
0.2521 0.7521 0.5000
0.7479 0.2479 0.5000
0.5000 0.5000 0.0000
```

DFT formation energy   0.683 eV per atom
V   66.91 Å³/cell

Entry 6:
Material: RePbW2
Method: DFT, GGA-PBE
State: relaxed

```
RePbW2
1.0
1.6143 -2.3728 0.0000
1.6143 2.3728 0.0000
0.0000 0.0000 9.6392
Re Pb W
1 1 2
direct
0.0000 0.0000 0.0000
0.0000 0.0000 0.5000
0.5000 0.5000 0.2178
0.5000 0.5000 0.7822
```

DFT formation energy   0.783 eV per atom
V   73.84 Å³/cell

Entry 7:
Material: PmNd2Sm6Ho
Method: DFT, GGA-PBE
State: relaxed

```
PmNd2Sm6Ho
1.0
4.5950 -7.6493 0.0000
4.5950 7.6493 0.0000
-1.4544 0.0000 9.7279
Pm Nd Sm Ho
2 4 12 2
direct
0.0192 0.9808 0.7500
0.9808 0.0192 0.2500
0.1964 0.2974 0.5427
0.2974 0.1964 0.0427
0.7026 0.8036 0.9573
0.8036 0.7026 0.4573
0.0172 0.5723 0.6876
0.1219 0.7471 0.0559
0.2529 0.8781 0.4441
0.2938 0.5048 0.8802
0.4277 0.9828 0.8124
0.4952 0.7062 0.6198
0.5048 0.2938 0.3802
0.5723 0.0172 0.1876
0.7062 0.4952 0.1198
0.7471 0.1219 0.5559
0.8781 0.2529 0.9441
0.9828 0.4277 0.3124
0.4078 0.5922 0.2500
0.5922 0.4078 0.7500
```

DFT formation energy   0.115 eV per atom
V   683.85 Å³/cell

Entry 8:
Material: CsDyGeCl6
Method: DFT, GGA-PBE
State: relaxed

```
CsDyGeCl6
1.0
7.0392 0.0000 0.0000
-3.5196 6.0962 0.0000
0.0000 0.0000 7.6966
Cs Dy Ge Cl
1 1 1 6
direct
0.0000 0.0000 0.0000
0.6667 0.3333 0.5000
0.3333 0.6667 0.5000
0.3821 0.0042 0.6981
0.3821 0.3779 0.3019
0.6221 0.0042 0.3019
0.6221 0.6179 0.6981
0.9958 0.3779 0.6981
0.9958 0.6179 0.3019
```

Formation energy without anion corrections   -1537 kJ/mol of formula units
V   330.28 Å³/cell

Entry 9:
Material: Sc2Ti
Method: DFT, GGA-PBE
State: relaxed

```
Sc2Ti
1.0
-1.5707 1.5707 6.6426
1.5707 -1.5707 6.6426
1.5707 1.5707 -6.6426
Sc Ti
2 1
direct
0.1541 0.1541 0.0000
0.8459 0.8459 0.0000
0.5000 0.5000 0.0000
```

DFT formation energy   0.094 eV per atom
V   65.55 Å³/cell

Entry 10:
Material: AcGeRh2
Method: DFT, GGA-PBE
State: relaxed

```
AcGeRh2
1.0
4.3293 0.0000 0.0000
0.0000 6.2634 0.0000
0.0000 0.0000 6.2105
Ac Ge Rh
2 2 4
direct
0.2500 0.2500 0.1402
0.7500 0.7500 0.8598
0.2500 0.7500 0.3490
0.7500 0.2500 0.6510
0.2500 0.0318 0.6457
0.2500 0.4682 0.6457
0.7500 0.5318 0.3543
0.7500 0.9682 0.3543
```

DFT formation energy   -0.751 eV per atom
V   168.40 Å³/cell

Entry 11:
Material: La4InAs
Method: DFT, GGA-PBE
State: relaxed

```
La4InAs
1.0
0.0000 4.5237 4.5237
4.5237 0.0000 4.5237
4.5237 4.5237 0.0000
La In As
4 1 1
direct
0.1253 0.1253 0.1253
0.1253 0.1253 0.6242
0.1253 0.6242 0.1253
0.6242 0.1253 0.1253
0.5000 0.5000 0.5000
0.7500 0.7500 0.7500
```

DFT formation energy   0.045 eV per atom
V   185.15 Å³/cell

Entry 12:
Material: LaZr4Ta
Method: DFT, GGA-PBE
State: relaxed

```
LaZr4Ta
1.0
0.0000 4.1440 4.1440
4.1440 0.0000 4.1440
4.1440 4.1440 0.0000
La Zr Ta
1 4 1
direct
0.0000 0.0000 0.0000
0.3764 0.3764 0.3764
0.3764 0.3764 0.8707
0.3764 0.8707 0.3764
0.8707 0.3764 0.3764
0.7500 0.7500 0.7500
```

DFT formation energy   0.462 eV per atom
V   142.32 Å³/cell

Entry 13:
Material: Ba2PdCl2O2
Method: DFT, GGA-PBE
State: relaxed

```
Ba2PdCl2O2
1.0
-2.1072 2.1072 8.5046
2.1072 -2.1072 8.5046
2.1072 2.1072 -8.5046
Ba Pd Cl O
2 1 2 2
direct
0.1115 0.1115 0.0000
0.8885 0.8885 0.0000
0.5000 0.5000 0.0000
0.3130 0.3130 0.0000
0.6870 0.6870 0.0000
0.0000 0.5000 0.5000
0.5000 0.0000 0.5000
```

Formation energy without anion corrections   -1317 kJ/mol of formula units
V   151.05 Å³/cell

Entry 14:
Material: Ce4PrTl3
Method: DFT, GGA-PBE
State: relaxed

```
Ce4PrTl3
1.0
5.1220 -2.4944 0.0000
5.1220 2.4944 0.0000
-4.4966 0.0000 9.1677
Ce Pr Tl
4 1 3
direct
0.0434 0.0434 0.2444
0.2417 0.2417 0.1253
0.7583 0.7583 0.8747
0.9566 0.9566 0.7556
0.5000 0.5000 0.5000
0.2313 0.2313 0.6419
0.5000 0.5000 0.0000
0.7687 0.7687 0.3581
```

DFT formation energy   -0.173 eV per atom
V   234.26 Å³/cell

Entry 15:
Material: HfMn2Mo
Method: DFT, GGA-PBE
State: relaxed

```
HfMn2Mo
1.0
4.3340 0.0000 0.0000
0.0000 4.3340 0.0000
0.0000 0.0000 3.0661
Hf Mn Mo
1 2 1
direct
0.0000 0.0000 0.0000
0.0000 0.5000 0.5000
0.5000 0.0000 0.5000
0.5000 0.5000 0.0000
```

DFT formation energy   -0.047 eV per atom
Distance to the lowest polymorph of the same formula   31.6 meV/atom
V   57.59 Å³/cell

Entry 16:
Material: Rb3Ba2RuO6
Method: DFT, GGA-PBE
State: relaxed

```
Rb3Ba2RuO6
1.0
3.2287 -5.6117 0.0000
3.2287 5.6117 0.0000
-2.1344 0.0000 6.4489
Rb Ba Ru O
3 2 1 6
direct
0.0000 0.0000 0.0000
0.3424 0.6576 0.0000
0.6576 0.3424 0.0000
0.1673 0.8327 0.5000
0.8327 0.1673 0.5000
0.5000 0.5000 0.5000
0.1795 0.4392 0.3182
0.2976 0.2976 0.6813
0.4392 0.1795 0.3182
0.5608 0.8205 0.6818
0.7024 0.7024 0.3187
0.8205 0.5608 0.6818
```

Formation energy without anion corrections   -1869 kJ/mol of formula units
V   233.69 Å³/cell

Entry 17:
Material: BaHf2Bi2
Method: DFT, GGA-PBE
State: relaxed

```
BaHf2Bi2
1.0
8.7327 0.0000 0.0000
0.0000 8.7327 0.0000
0.0000 0.0000 3.7485
Ba Hf Bi
2 4 4
direct
0.0000 0.0000 0.0000
0.5000 0.5000 0.0000
0.1175 0.3825 0.0000
0.3825 0.8825 0.0000
0.6175 0.1175 0.0000
0.8825 0.6175 0.0000
0.1684 0.6684 0.5000
0.3316 0.1684 0.5000
0.6684 0.8316 0.5000
0.8316 0.3316 0.5000
```

DFT formation energy   0.000 eV per atom
Distance to the lowest polymorph of the same formula   319.6 meV/atom
V   285.86 Å³/cell

Entry 18:
Material: Hf2Ag2Pb
Method: DFT, GGA-PBE
State: relaxed

```
Hf2Ag2Pb
1.0
8.2291 0.0000 0.0000
0.0000 8.2291 0.0000
0.0000 0.0000 3.2641
Hf Ag Pb
4 4 2
direct
0.1661 0.3339 0.0000
0.3339 0.8339 0.0000
0.6661 0.1661 0.0000
0.8339 0.6661 0.0000
0.1281 0.6281 0.5000
0.3719 0.1281 0.5000
0.6281 0.8719 0.5000
0.8719 0.3719 0.5000
0.0000 0.0000 0.0000
0.5000 0.5000 0.0000
```

DFT formation energy   0.250 eV per atom
Distance to the lowest polymorph of the same formula   105.9 meV/atom
V   221.04 Å³/cell

Entry 19:
Material: Ba2TeAsIr
Method: DFT, GGA-PBE
State: relaxed

```
Ba2TeAsIr
1.0
6.2482 0.0000 0.0000
0.0000 6.2482 0.0000
0.0000 0.0000 4.5874
Ba Te As Ir
2 1 1 1
direct
0.0000 0.5000 0.0000
0.5000 0.0000 0.0000
0.0000 0.0000 0.5000
0.5000 0.5000 0.5000
0.5000 0.5000 0.0000
```

Formation energy without anion corrections   -437 kJ/mol of formula units
V   179.09 Å³/cell

Entry 20:
Material: Tl3Hg2
Method: DFT, GGA-PBE
State: relaxed

```
Tl3Hg2
1.0
3.3539 1.9364 8.2380
-3.3539 1.9364 8.2380
0.0000 -3.8727 8.2380
Tl Hg
6 4
direct
0.1767 0.7500 0.3233
0.2500 0.6767 0.8233
0.3233 0.1767 0.7500
0.6767 0.8233 0.2500
0.7500 0.3233 0.1767
0.8233 0.2500 0.6767
0.1868 0.1868 0.1868
0.3132 0.3132 0.3132
0.6868 0.6868 0.6868
0.8132 0.8132 0.8132
```

DFT formation energy   0.069 eV per atom
Distance to the lowest polymorph of the same formula   71.8 meV/atom
V   321.00 Å³/cell